Mn5V2H4O12 | PBEsol | relaxed Values from VASP.

```
&SYSTEM
  ibrav = 0, nat = 23, ntyp = 4
/
ATOMIC_SPECIES
H 1.01 H.upf
Mn 54.94 Mn.upf
O 16.00 O.upf
V 50.94 V.upf
CELL_PARAMETERS angstrom
-3.1352 -4.1876 0.7959
0.9509 -2.5524 -6.0753
4.8627 -3.8735 2.3828
ATOMIC_POSITIONS angstrom
H 0.0132 -1.8470 -2.1120
H 2.6651 -8.7665 -0.7845
H 1.3075 -8.3080 -3.7198
H 1.3708 -2.3055 0.8233
Mn 0.1025 -4.8891 -4.1221
Mn 2.5758 -5.7244 1.2256
Mn 0.0000 0.0000 0.0000
Mn 2.3065 -3.0102 -3.1441
Mn 3.5070 -3.4157 -0.5483
O 0.3985 -3.6921 -2.3350
O 2.2798 -6.9214 -0.5615
O 1.1040 -6.5243 -3.1037
O 1.5743 -4.0892 0.2072
O 4.3721 -4.9355 0.6122
O -1.6938 -5.6780 -3.5087
O 0.8498 -6.5370 1.9911
O 1.8285 -4.0765 -4.8875
O 3.9070 -7.2215 -2.9349
O -1.2287 -3.3920 0.0385
O 3.0784 -4.6531 -2.1505
O -0.4001 -5.9604 -0.7460
V 2.5894 -6.3266 -2.1858
V 0.0889 -4.2869 -0.7107
```

=====

! LaMn2W | the Alexandria database | PBEsol | relaxed; values from VASP
! ΔH_f (0 K) = 683 meV per atom
! polymorph energy (0 for the lowest one) = 156 meV/atom
&SYSTEM
  ibrav = 0, nat = 4, ntyp = 3
/
ATOMIC_SPECIES
La 138.91 La.upf
Mn 54.94 Mn.upf
W 183.84 W.upf
CELL_PARAMETERS angstrom
-0.7697 -2.5372 -1.2309
-1.2700 -1.6626 4.2212
-4.3640 1.6462 -0.6645
ATOMIC_POSITIONS angstrom
La -0.3848 -1.2686 -0.6154
Mn -2.1820 0.8231 -0.3323
Mn -0.6350 -0.8313 2.1106
W -3.2018 -1.2768 1.1629

=====

! K3Hg | the Alexandria database | PBEsol | relaxed; values from VASP
! ΔH_f (0 K) = -40 meV per atom
&SYSTEM
  ibrav = 0, nat = 4, ntyp = 2
/
ATOMIC_SPECIES
K 39.10 K.upf
Hg 200.59 Hg.upf
CELL_PARAMETERS angstrom
4.5592 0.0000 0.0000
2.2796 3.9484 0.0000
2.2796 1.3161 11.9208
ATOMIC_POSITIONS angstrom
K 2.2796 1.3161 2.1975
K 4.5592 2.6322 5.9604
K 6.8388 3.9484 9.7233
Hg 0.0000 0.0000 0.0000

=====

no.,DFT total energy (eV per atom)
1,-7.839
2,-8.986
3,-1.031